Entry 1:
4
Lattice="0.000 2.808 2.808 2.808 0.000 2.808 2.808 2.808 0.000" Properties=species:S:1:pos:R:3 comment="GGA-PBE InC2N, relaxed" spacegroup="Fm-3m (225)" e_above_lowest_polymorph_ev_per_atom=2.730 magmom_total_mub_per_fu=0.3 pbc="T T T"
C 4.213 4.213 4.213
In 2.808 2.808 2.808
C 1.404 1.404 1.404
N 0.000 0.000 0.000

Entry 2:
5
Lattice="-1.004 5.717 1.630 -5.295 -0.109 -2.881 -2.208 -1.561 4.117" Properties=species:S:1:pos:R:3 comment="GGA-PBE Tl2ReTeRh, relaxed" spacegroup="P4/mmm (123)" e_tot_ev_per_fu=-18.4 magmom_total_mub_per_fu=3.8 pbc="T T T"
Re -1.104 -0.781 2.058
Te 0.000 0.000 0.000
Rh -4.253 2.023 1.433
Tl -0.502 2.858 0.815
Tl -2.647 -0.054 -1.440

Entry 3:
7
Lattice="-3.204 2.305 -2.841 2.099 -8.573 -9.323 -1.315 0.498 6.049" Properties=species:S:1:pos:R:3 comment="GGA-PBE Ce2Pu3Pb2, relaxed" spacegroup="C2/m (12)" magmom_total_mub_per_fu=6.8 e_form_mev_per_atom=-168 pbc="T T T"
Ce 0.012 -2.250 -1.839
Pb -1.365 -0.713 0.961
Pu -0.778 -5.706 -3.752
Pb -1.055 -5.057 -7.075
Pu 1.049 -4.287 -4.661
Pu -1.642 -0.064 -2.362
Ce -2.432 -3.520 -4.275

Entry 4:
12
Lattice="-3.991 0.570 -1.560 -1.628 -6.477 1.798 -2.555 2.734 7.533" Properties=species:S:1:pos:R:3 comment="GGA-PBE HoSc3Ir2, relaxed" spacegroup="Pmc2_1 (26)" magmom_total_mub_per_fu=0.0 e_form_mev_per_atom=-786 pbc="T T T"
Sc -1.818 -6.153 2.404
Ir -2.108 -3.877 3.978
Sc -3.154 -3.679 6.725
Ho -4.313 -1.479 4.505
Ir -2.062 0.182 5.341
Sc -3.479 -3.425 1.662
Ir -2.769 -0.935 0.753
Sc -3.130 -0.639 7.774
Ho -3.099 1.331 2.426
Sc -1.381 -1.467 2.997
Sc -4.351 1.616 5.731
Ir -5.401 -2.228 7.015

Entry 5:
4
Lattice="-4.911 -2.726 2.581 0.160 -0.845 6.122 0.639 4.506 -4.183" Properties=species:S:1:pos:R:3 comment="GGA-PBE ZrPb3, relaxed" spacegroup="Immm (71)" magmom_total_mub_per_fu=0.0 e_form_mev_per_atom=71 pbc="T T T"
Zr -0.789 0.938 3.145
Pb -0.042 -0.032 0.077
Pb -2.333 -1.754 4.274
Pb -3.324 -0.003 1.375

Entry 6:
5
Lattice="4.544 0.000 0.000 0.000 4.493 0.000 0.000 0.000 4.544" Properties=species:S:1:pos:R:3 comment="GGA-PBE CrMo2PtBr, relaxed" spacegroup="P4/mmm (123)" e_tot_ev_per_fu=-31.9 magmom_total_mub_per_fu=1.0 pbc="T T T"
Pt 2.272 2.246 2.272
Cr 0.000 0.000 0.000
Br 0.000 2.246 0.000
Mo 0.000 0.000 2.272
Mo 2.272 0.000 0.000